# HgRu GGA-PBE relaxed
# ΔH_f (0 K)	1.06	eV per formula unit
data_HgRu
_chemical_formula_sum 'Hg4 Ru4'
_symmetry_space_group_name_H-M 'C 1 2/m 1'
_symmetry_Int_Tables_number 12
_cell_length_a 8.8118
_cell_length_b 2.9637
_cell_length_c 6.7655
_cell_angle_alpha 90.00
_cell_angle_beta 125.13
_cell_angle_gamma 90.00
loop_
_symmetry_equiv_pos_as_xyz
'x,y,z'
'-x,-y,-z'
'-x,y,-z'
'x,-y,z'
'x+1/2,y+1/2,z'
'-x+1/2,-y+1/2,-z'
'-x+1/2,y+1/2,-z'
'x+1/2,-y+1/2,z'
loop_
_atom_site_label
_atom_site_type_symbol
_atom_site_fract_x
_atom_site_fract_y
_atom_site_fract_z
Hg1 Hg 0.0725 0.0000 0.3609
Ru1 Ru 0.1724 0.5000 0.0772

=====

# MnZnSb2 GGA-PBE relaxed
# electronic total energy	-18.30	eV/cell
data_MnZnSb2
_chemical_formula_sum 'Mn1 Zn1 Sb2'
_symmetry_space_group_name_H-M 'P 1 m 1'
_symmetry_Int_Tables_number 6
_cell_length_a 3.8523
_cell_length_b 4.0776
_cell_length_c 5.4868
_cell_angle_alpha 90.00
_cell_angle_beta 108.67
_cell_angle_gamma 90.00
loop_
_symmetry_equiv_pos_as_xyz
'x,y,z'
'x,-y,z'
loop_
_atom_site_label
_atom_site_type_symbol
_atom_site_fract_x
_atom_site_fract_y
_atom_site_fract_z
Mn1 Mn 0.0000 0.0000 0.0000
Zn1 Zn 0.8236 0.5000 0.6690
Sb1 Sb 0.2703 0.0000 0.5594
Sb2 Sb 0.5635 0.5000 0.1293

=====

# Tb4YTm3 GGA-PBE relaxed
# ΔE to the lowest computed polymorph	211	meV per atom
# ΔH_f (0 K)	1.74	eV per formula unit
data_Tb4YTm3
_chemical_formula_sum 'Tb8 Y2 Tm6'
_symmetry_space_group_name_H-M 'C 1 2/m 1'
_symmetry_Int_Tables_number 12
_cell_length_a 25.8194
_cell_length_b 5.5953
_cell_length_c 3.5673
_cell_angle_alpha 90.00
_cell_angle_beta 90.07
_cell_angle_gamma 90.00
loop_
_symmetry_equiv_pos_as_xyz
'x,y,z'
'-x,-y,-z'
'-x,y,-z'
'x,-y,z'
'x+1/2,y+1/2,z'
'-x+1/2,-y+1/2,-z'
'-x+1/2,y+1/2,-z'
'x+1/2,-y+1/2,z'
loop_
_atom_site_label
_atom_site_type_symbol
_atom_site_fract_x
_atom_site_fract_y
_atom_site_fract_z
Tb1 Tb 0.1039 0.0000 0.0001
Tb2 Tb 0.2234 0.0000 0.9996
Y1 Y 0.0000 0.0000 0.5000
Tm1 Tm 0.0000 0.5000 0.0000
Tm2 Tm 0.1544 0.5000 0.4997

=====

# NiBiAu2 GGA-PBE relaxed
# ΔH_f (0 K)	2.41	eV per formula unit
data_NiBiAu2
_chemical_formula_sum 'Ni3 Bi3 Au6'
_symmetry_space_group_name_H-M 'R -3 m'
_symmetry_Int_Tables_number 166
_symmetry_space_group_name_Hall '-R 3 2"'
_cell_length_a 3.0680
_cell_length_b 3.0680
_cell_length_c 31.2005
_cell_angle_alpha 90.00
_cell_angle_beta 90.00
_cell_angle_gamma 120.00
loop_
_atom_site_label
_atom_site_type_symbol
_atom_site_fract_x
_atom_site_fract_y
_atom_site_fract_z
Ni1 Ni 0.0000 0.0000 0.0000
Bi1 Bi 0.0000 0.0000 0.5000
Au1 Au 0.0000 0.0000 0.0807

=====

# FeSi2C GGA-PBE relaxed
# electronic total energy	-107.30	eV/cell
data_FeSi2C
_chemical_formula_sum 'Fe4 Si8 C4'
_symmetry_space_group_name_H-M 'I -4 2 d'
_symmetry_Int_Tables_number 122
_symmetry_space_group_name_Hall 'I -4 2bw'
_cell_length_a 5.3457
_cell_length_b 5.3457
_cell_length_c 7.2169
_cell_angle_alpha 90.00
_cell_angle_beta 90.00
_cell_angle_gamma 90.00
loop_
_atom_site_label
_atom_site_type_symbol
_atom_site_fract_x
_atom_site_fract_y
_atom_site_fract_z
Fe1 Fe 0.0000 0.0000 0.0000
Si1 Si 0.1810 0.2500 0.6250
C1 C 0.0000 0.0000 0.5000

=====

# Pu6SnPt5 GGA-PBE relaxed
# ΔH_f (0 K)	-7.79	eV per formula unit
data_Pu6SnPt5
_chemical_formula_sum 'Pu12 Sn2 Pt10'
_symmetry_space_group_name_H-M 'I m m m'
_symmetry_Int_Tables_number 71
_symmetry_space_group_name_Hall '-I 2 2'
_cell_length_a 5.4378
_cell_length_b 5.9103
_cell_length_c 16.2880
_cell_angle_alpha 90.00
_cell_angle_beta 90.00
_cell_angle_gamma 90.00
loop_
_atom_site_label
_atom_site_type_symbol
_atom_site_fract_x
_atom_site_fract_y
_atom_site_fract_z
Pu1 Pu 0.0000 0.2404 0.0000
Pu2 Pu 0.0000 0.2535 0.3271
Sn1 Sn 0.0000 0.0000 0.5000
Pt1 Pt 0.0000 0.0000 0.1655
Pt2 Pt 0.0000 0.5000 0.1628
Pt3 Pt 0.0000 0.5000 0.5000